Below is Sm6Tl3Ag after structural relaxation, with properties calculated at the PBE level.

**Density**: 9.29 Mg/m³
**DFT formation energy**: -0.25 eV/atom
**Relative energy among the computed polymorphs**: 0 meV per atom

```
data_Sm6Tl3Ag
_symmetry_space_group_name_H-M 'P 1 21/m 1'
_symmetry_Int_Tables_number 11
_cell_length_a 9.520
_cell_length_b 5.398
_cell_length_c 11.856
_cell_angle_alpha 90.00
_cell_angle_beta 107.66
_cell_angle_gamma 90.00
loop_
_symmetry_equiv_pos_as_xyz
'x,y,z'
'-x,-y,-z'
'-x,y+1/2,-z'
'x,-y+1/2,z'
loop_
_atom_site_label
_atom_site_fract_x
_atom_site_fract_y
_atom_site_fract_z
Sm1 0.035 0.250 0.409
Sm2 0.167 0.750 0.177
Sm3 0.262 0.250 0.002
Sm4 0.352 0.750 0.815
Sm5 0.367 0.250 0.344
Sm6 0.408 0.250 0.624
Tl1 0.031 0.750 0.884
Tl2 0.127 0.250 0.717
Tl3 0.273 0.750 0.474
Ag1 0.456 0.750 0.103
```